a | 10
Lattice="3.7345 0.0000 0.0000 -1.8672 6.5950 -0.3574 0.0000 0.4013 11.1585" Properties=species:S:1:pos:R:3 comment="PrHo3Co (PBE, optimized geometry)" crystal_system=monoclinic n_ef_per_ev_atom=1.0628 vol_a3_per_cell=275.4 sg="No. 12" pbc="T T T"
Pr 1.8672 4.7716 9.9065
Pr 0.0000 2.2248 0.8945
Ho 0.0000 5.8019 1.4722
Ho 1.8672 6.0353 6.6745
Ho 1.8672 1.1945 9.3288
Ho 0.0000 3.0859 6.9408
Ho 1.8672 3.9105 3.8602
Ho 0.0000 0.9610 4.1265
Co 1.8672 1.3366 6.1924
Co 0.0000 5.6598 4.6086

b | 20
Lattice="6.4518 0.0000 0.0000 0.0000 9.3499 0.5513 0.0000 -2.3525 9.4382" Properties=species:S:1:pos:R:3 comment="PrHo3Co (PBE, optimized geometry)" crystal_system=monoclinic n_ef_per_ev_atom=0.9443 vol_a3_per_cell=577.7 sg="No. 14" pbc="T T T"
Ho 2.6509 6.8911 8.3045
Ho 2.7044 0.4468 5.5369
Ho 3.7473 6.5507 4.4526
Ho 2.6802 6.2267 0.8834
Ho 3.8009 0.1063 1.6850
Ho 0.5215 1.6230 0.8178
Ho 5.8768 -1.0699 6.4041
Ho 5.9061 1.9469 4.3870
Ho 0.5456 5.0505 5.6025
Ho 3.7715 0.7707 9.1061
Ho 0.5750 8.0674 3.5854
Ho 5.9303 5.3744 9.1717
Co 4.9319 -1.5237 8.8178
Co 4.7458 -0.3474 4.0987
Co 1.7060 7.3448 5.8909
Co 1.5199 8.5211 1.1717
Pr 0.4883 2.1173 7.9491
Pr 5.9635 4.8801 2.0404
Pr 2.7376 3.2935 3.2300
Pr 3.7142 3.7039 6.7595

Relative energies in meV/atom: a 0; b 32